The following is a DFT calculation (PBE with a Hubbard U) of VCd2F after structural relaxation.

Lattice parameters (Å, degrees): 7.7180 7.7180 5.2548 90.00 90.00 90.00
Space group I-42d (No. 122)
Symmetry-distinct sites (fractional):
V  0.0000  0.0000  0.0000 (multiplicity 4)
Cd  0.2004  0.7500  0.6250 (multiplicity 8)
F  0.0000  0.0000  0.5000 (multiplicity 4)

Relative energy among the computed polymorphs in meV per atom: 0
Crystal system: tetragonal